An optimized crystal structure of TaSi2Ru. Source: Alexandria via LeMat-Bulk, functional PBE.

Structure (CIF):
```
data_TaSi2Ru
_space_group_name_H-M_alt 'P 4/m m m'
_space_group_IT_number 123
_space_group_name_Hall '-P 4 2'
_cell_length_a 2.932
_cell_length_b 2.932
_cell_length_c 6.565
_cell_angle_alpha 90.00
_cell_angle_beta 90.00
_cell_angle_gamma 90.00
loop_
_atom_site_label
_atom_site_fract_x
_atom_site_fract_y
_atom_site_fract_z
Ta1 0.000 0.000 0.000
Si1 0.500 0.500 0.278
Ru1 0.000 0.000 0.500
```

Properties
Crystal system: tetragonal
ΔE_f (raw) in eV per atom: -0.393